Y3MoO7 | PBE+U | optimized geometry

**Size of the total moment**: 0.091 μB/atom
**Symmetry**: C222_1 (20)
**E_tot**: -8.562 eV/atom

Cell lengths 6.4891, 6.4891, 7.4862 Å; angles 90.00, 90.00, 108.78 degrees
Closest atoms and distances in Å follow each position.
Fractional coordinates of all 22 atoms:
Y  0.0301  0.0301  0.0000  6 O 2.33-2.39
Y  0.0354  0.5005  0.2555  7 O 2.23-2.43
Y  0.5005  0.0354  0.7445  7 O 2.23-2.43
Y  0.4995  0.9646  0.2445  7 O 2.23-2.43
Y  0.9646  0.4995  0.7555  7 O 2.23-2.43
Y  0.9699  0.9699  0.5000  6 O 2.33-2.39
Mo  0.4985  0.4985  0.5000  6 O 1.95-2.03
Mo  0.5015  0.5015  0.0000  6 O 1.95-2.03
O  0.1305  0.8695  0.7500  4 Y 2.29-2.33
O  0.1374  0.8626  0.2500  4 Y 2.23-2.38
O  0.1739  0.4179  0.9740  1 Mo 2.03
O  0.1883  0.4412  0.5368  1 Mo 1.95
O  0.4179  0.1739  0.0260  1 Mo 2.03
O  0.4265  0.5735  0.2500  2 Mo 2.03
O  0.4412  0.1883  0.4632  1 Mo 1.95
O  0.5588  0.8117  0.9632  1 Mo 1.95
O  0.5735  0.4265  0.7500  2 Mo 2.03
O  0.5821  0.8261  0.5260  1 Mo 2.03
O  0.8117  0.5588  0.0368  1 Mo 1.95
O  0.8261  0.5821  0.4740  1 Mo 2.03
O  0.8626  0.1374  0.7500  4 Y 2.23-2.38
O  0.8695  0.1305  0.2500  4 Y 2.29-2.33